1.
Entry from Alexandria via LeMat-Bulk: a geometry-optimized Hg4H3Se4 structure (PBE-GGA).

E (eV/atom): -2.288
M_tot (μB per formula unit): 0.0
Fermi-level density of states (states/eV per cell): 0.98

Cell lengths 5.4569, 6.2098, 10.0755 Å; angles 88.69, 90.00, 116.06 degrees
Sites, in units of the cell vectors:
Hg1 0.7150 0.4301 0.7043
Hg2 0.6182 0.2364 0.2434
Hg3 0.9958 0.9916 0.4691
Hg4 0.0089 0.0178 0.9723
H1 0.3081 0.6161 0.3231
H2 0.3157 0.6314 0.8145
H3 0.3850 0.7699 0.0791
Se1 0.5029 0.0058 0.4714
Se2 0.5072 0.0145 0.9965
Se3 0.2149 0.4297 0.7201
Se4 0.2269 0.4538 0.2062


2.
Entry from Alexandria via LeMat-Bulk: a geometry-optimized Nb3CoH structure (PBE-GGA).

ΔE to the lowest computed polymorph (meV/atom): 0.0
M_tot (μB per formula unit): 0.4
Fermi-level density of states (states/eV per cell): 6.71

Cell lengths 4.0945, 4.0945, 4.0945 Å; angles 90.00, 90.00, 90.00 degrees
Each line ends with the local moment (μB).
Sites, in units of the cell vectors:
H1 0.0000 0.0000 0.0000  0.00
Nb1 0.0000 0.5000 0.0000  -0.01
Nb2 0.0000 0.0000 0.5000  0.00
Nb3 0.5000 0.0000 0.0000  -0.01
Co1 0.5000 0.5000 0.5000  -0.42


3.
Entry from Alexandria via LeMat-Bulk: a geometry-optimized LaDyRe structure (PBE-GGA).

M_tot (μB per formula unit): 0.0
Energy of formation from the pure elements (meV per atom): 333
Fermi-level density of states (states/eV per cell): 9.09

Cell lengths 3.5976, 3.5976, 13.4102 Å; angles 90.00, 90.00, 90.00 degrees
Sites, in units of the cell vectors:
Re1 0.0000 0.0000 0.0000
Re2 0.5000 0.5000 0.0000
Dy1 0.0000 0.5000 0.5883
Dy2 0.5000 0.0000 0.4117
La1 0.0000 0.5000 0.1980
La2 0.5000 0.0000 0.8020


4.
Entry from Alexandria via LeMat-Bulk: a geometry-optimized Ac8Rh3AuI4 structure (PBE-GGA).

M_tot (μB per formula unit): 0.0
Fermi-level density of states (states/eV per cell): 8.85
Formation energy without anion corrections (eV per atom): -1.01

Cell lengths 8.8792, 10.0547, 8.8785 Å; angles 116.20, 120.00, 90.00 degrees
Sites, in units of the cell vectors:
Ac1 0.2350 0.6861 0.9512
Ac2 0.2349 0.6861 0.4699
Ac3 0.2714 0.3142 0.5428
Ac4 0.7162 0.6861 0.9512
Ac5 0.2838 0.3139 0.0488
Ac6 0.7286 0.6858 0.4572
Ac7 0.7651 0.3139 0.5301
Ac8 0.7650 0.3139 0.0488
Rh1 0.5000 0.5000 0.0000
Rh2 0.5000 0.5000 0.5000
Rh3 0.0000 0.5000 0.5000
Au1 0.0000 0.5000 0.0000
I1 0.5000 0.0000 0.0000
I2 0.5000 0.0000 0.5000
I3 0.0000 0.0000 0.0000
I4 0.0000 0.0000 0.5000


5.
Entry from Alexandria via LeMat-Bulk: a geometry-optimized CaReBr2 structure (PBE-GGA).

ΔE to the lowest computed polymorph (meV/atom): 336.0
M_tot (μB per formula unit): 1.0
Fermi-level density of states (states/eV per cell): 4.23
Formation energy without anion corrections (eV per atom): 0.30

Cell lengths 5.0022, 5.0022, 8.9107 Å; angles 73.70, 73.70, 90.00 degrees
Each line ends with the local moment (μB).
Sites, in units of the cell vectors:
Re1 0.0000 0.0000 0.0000  0.79
Re2 0.7500 0.2500 0.5000  0.78
Ca1 0.5000 0.5000 0.0000  0.00
Ca2 0.2500 0.7500 0.5000  0.00
Br1 0.6783 0.1250 0.2500  0.01
Br2 0.0717 0.6250 0.2500  0.01
Br3 0.3750 0.3217 0.7500  0.02
Br4 0.8750 0.9283 0.7500  0.02


6.
Entry from Alexandria via LeMat-Bulk: a geometry-optimized Mg3InAu structure (PBE-GGA).

ΔE to the lowest computed polymorph (meV/atom): 19.6
M_tot (μB per formula unit): 0.0
Energy of formation from the pure elements (meV per atom): -267
Fermi-level density of states (states/eV per cell): 3.09

Cell lengths 4.6182, 5.8191, 8.9982 Å; angles 89.32, 90.00, 113.38 degrees
Sites, in units of the cell vectors:
Mg1 0.1010 0.2020 0.8550
Mg2 0.8990 0.7980 0.1450
Mg3 0.3987 0.7973 0.8656
Mg4 0.6013 0.2027 0.1344
Mg5 0.1218 0.2436 0.3976
Mg6 0.8782 0.7564 0.6024
In1 0.5962 0.1924 0.6241
In2 0.4038 0.8076 0.3759
Au1 0.7632 0.5265 0.8806
Au2 0.2368 0.4735 0.1194


7.
Entry from Alexandria via LeMat-Bulk: a geometry-optimized SiMo2 structure (PBE-GGA).

ΔE to the lowest computed polymorph (meV/atom): 126.6
M_tot (μB per formula unit): 0.0
Fermi-level density of states (states/eV per cell): 3.70
Formation energy without anion corrections (eV per atom): -0.20

Cell lengths 4.9396, 4.9396, 7.0362 Å; angles 59.37, 59.37, 38.08 degrees
Sites, in units of the cell vectors:
Si1 0.6465 0.6465 0.3388
Si2 0.3535 0.3535 0.6612
Mo1 0.0718 0.0718 0.6619
Mo2 0.3488 0.3488 0.0447
Mo3 0.6512 0.6512 0.9553
Mo4 0.9282 0.9282 0.3381


8.
Entry from Alexandria via LeMat-Bulk: a geometry-optimized TaRe2Se structure (PBE-GGA).

M_tot (μB per formula unit): 0.0
Fermi-level density of states (states/eV per cell): 3.17
Formation energy without anion corrections (eV per atom): 0.52

Cell lengths 4.5076, 4.5076, 4.5076 Å; angles 60.00, 60.00, 60.00 degrees
Sites, in units of the cell vectors:
Re1 0.0000 0.0000 0.0000
Re2 0.2500 0.2500 0.2500
Se1 0.5000 0.5000 0.5000
Ta1 0.7500 0.7500 0.7500